First-principles (GGA+U) data for a relaxed CaNiF3 crystal, as listed in Alexandria via LeMat-Bulk.

Space group = Pm-3m
Distance to the lowest polymorph of the same formula = 0.43 eV per formula unit
Final energy = -4.19 eV/atom

POSCAR file:
```
CaNiF3
1.0
4.3887 0.0000 0.0000
0.0000 4.3887 0.0000
0.0000 0.0000 4.3887
F Ni Ca
3 1 1
Direct
0.0000 0.5000 0.0000
0.5000 0.0000 0.0000
0.0000 0.0000 0.5000
0.5000 0.5000 0.5000
0.0000 0.0000 0.0000
```